No. 1
YLuCuAs | GGA-PBE | relaxed

## Properties
The calculation puts the electronic total energy at -4.771 eV per atom. Its energy above the most stable polymorph in this dataset is 0 meV per atom. The total magnetic moment is 0.0 μB per formula unit. The calculation puts the mass density at 7730 kg/m3.

Cell and atoms, written as CIF:
```
data_YLuCuAs
_cell_length_a 7.019
_cell_length_b 7.019
_cell_length_c 7.019
_cell_angle_alpha 90.00
_cell_angle_beta 90.00
_cell_angle_gamma 90.00
_symmetry_space_group_name_H-M 'F -4 3 m'
_symmetry_Int_Tables_number 216
_symmetry_space_group_name_Hall 'F -4 2 3'
loop_
_atom_site_label
_atom_site_type_symbol
_atom_site_fract_x
_atom_site_fract_y
_atom_site_fract_z
Y1 Y 0.000 0.000 0.000
Lu1 Lu 0.250 0.250 0.750
Cu1 Cu 0.000 0.000 0.500
As1 As 0.250 0.250 0.250
```

=====

No. 2
YPdNO | GGA-PBE | relaxed

## Properties
The calculation puts the electronic total energy at -7.430 eV per atom. Its energy above the most stable polymorph in this dataset is 237 meV per atom. The total magnetic moment is 0.0 μB per formula unit. The calculation puts the mass density at 6194 kg/m3.

Cell and atoms, written as CIF:
```
data_YPdNO
_cell_length_a 4.008
_cell_length_b 6.851
_cell_length_c 4.401
_cell_angle_alpha 90.00
_cell_angle_beta 90.00
_cell_angle_gamma 90.00
_symmetry_space_group_name_H-M 'P m c 21'
_symmetry_Int_Tables_number 26
_symmetry_space_group_name_Hall 'P 2c -2'
loop_
_atom_site_label
_atom_site_type_symbol
_atom_site_fract_x
_atom_site_fract_y
_atom_site_fract_z
Y1 Y 0.000 0.188 0.000
Pd1 Pd 0.500 0.384 0.501
N1 N 0.500 0.327 0.976
O1 O 0.000 0.133 0.499
```

=====

No. 3
CsAgTe2PtS | GGA-PBE | relaxed

## Properties
The calculation puts the electronic total energy at -3.648 eV per atom. The total magnetic moment is 0.0 μB per formula unit. The calculation puts the mass density at 6574 kg/m3.

Cell and atoms, written as CIF:
```
data_CsAgTe2PtS
_cell_length_a 4.106
_cell_length_b 16.289
_cell_length_c 10.923
_cell_angle_alpha 90.00
_cell_angle_beta 90.00
_cell_angle_gamma 90.00
_symmetry_space_group_name_H-M 'C m c m'
_symmetry_Int_Tables_number 63
_symmetry_space_group_name_Hall '-C 2c 2'
loop_
_atom_site_label
_atom_site_type_symbol
_atom_site_fract_x
_atom_site_fract_y
_atom_site_fract_z
Cs1 Cs 0.000 0.249 0.250
Ag1 Ag 0.000 0.457 0.750
Te1 Te 0.000 0.392 0.517
Pt1 Pt 0.000 0.000 0.000
S1 S 0.000 0.047 0.750
```

=====

No. 4
Sm2DyAl7Ag2 | GGA-PBE | relaxed

## Properties
The calculation puts the electronic total energy at -4.275 eV per atom. The total magnetic moment is 0.0 μB per formula unit. The calculation puts the mass density at 6022 kg/m3.

Cell and atoms, written as CIF:
```
data_Sm2DyAl7Ag2
_cell_length_a 5.5955
_cell_length_b 5.5955
_cell_length_c 26.4764
_cell_angle_alpha 90.00
_cell_angle_beta 90.00
_cell_angle_gamma 120.00
_symmetry_space_group_name_H-M 'R -3 m'
_symmetry_Int_Tables_number 166
_symmetry_space_group_name_Hall '-R 3 2"'
loop_
_atom_site_label
_atom_site_type_symbol
_atom_site_fract_x
_atom_site_fract_y
_atom_site_fract_z
Sm1 Sm 0.0000 0.0000 0.1418
Dy1 Dy 0.0000 0.0000 0.0000
Al1 Al 0.0000 0.0000 0.5000
Al2 Al 0.0081 0.5040 0.9169
Ag1 Ag 0.0000 0.0000 0.3359
```

=====

Copy entry 1 word for word.
YLuCuAs | GGA-PBE | relaxed

## Properties
The calculation puts the electronic total energy at -4.771 eV per atom. Its energy above the most stable polymorph in this dataset is 0 meV per atom. The total magnetic moment is 0.0 μB per formula unit. The calculation puts the mass density at 7730 kg/m3.

Cell and atoms, written as CIF:
```
data_YLuCuAs
_cell_length_a 7.019
_cell_length_b 7.019
_cell_length_c 7.019
_cell_angle_alpha 90.00
_cell_angle_beta 90.00
_cell_angle_gamma 90.00
_symmetry_space_group_name_H-M 'F -4 3 m'
_symmetry_Int_Tables_number 216
_symmetry_space_group_name_Hall 'F -4 2 3'
loop_
_atom_site_label
_atom_site_type_symbol
_atom_site_fract_x
_atom_site_fract_y
_atom_site_fract_z
Y1 Y 0.000 0.000 0.000
Lu1 Lu 0.250 0.250 0.750
Cu1 Cu 0.000 0.000 0.500
As1 As 0.250 0.250 0.250
```